(1)
# LaNd6DyHo2 | Alexandria | GGA-PBE | relaxed
data_LaNd6DyHo2
_cell_length_a 9.386
_cell_length_b 15.273
_cell_length_c 9.730
_cell_angle_alpha 90.00
_cell_angle_beta 96.79
_cell_angle_gamma 90.00
_symmetry_space_group_name_H-M 'C 1 2/c 1'
_symmetry_Int_Tables_number 15
_symmetry_space_group_name_Hall '-C 2yc'
loop_
_atom_site_label
_atom_site_fract_x
_atom_site_fract_y
_atom_site_fract_z
La1 0.000 0.031 0.250
Nd1 0.064 0.179 0.944
Nd2 0.095 0.391 0.117
Nd3 0.216 0.225 0.317
Dy1 0.000 0.410 0.750
Ho1 0.249 0.451 0.450
# ΔE_f = 10.97 kJ per mole of atoms
# ρ = 7.2 g/cm³
# Raw total energy = -184.622 eV/cell

=====

(2)
# Y5HoMg | Alexandria | GGA-PBE | relaxed
data_Y5HoMg
_cell_length_a 11.381
_cell_length_b 6.534
_cell_length_c 12.265
_cell_angle_alpha 90.00
_cell_angle_beta 99.63
_cell_angle_gamma 90.00
_symmetry_space_group_name_H-M 'C 1 2/c 1'
_symmetry_Int_Tables_number 15
_symmetry_space_group_name_Hall '-C 2yc'
loop_
_atom_site_label
_atom_site_fract_x
_atom_site_fract_y
_atom_site_fract_z
Y1 0.000 0.203 0.250
Y2 0.152 0.443 0.054
Y3 0.238 0.069 0.673
Ho1 0.000 0.296 0.750
Mg1 0.000 0.000 0.000
# ΔE_f = 18.00 kJ per mole of atoms
# ρ = 4.7 g/cm³
# Raw total energy = -148.746 eV/cell

=====

(3)
# Tb2PmErTl2 | Alexandria | GGA-PBE | relaxed
data_Tb2PmErTl2
_cell_length_a 5.130
_cell_length_b 10.036
_cell_length_c 6.862
_cell_angle_alpha 90.00
_cell_angle_beta 90.00
_cell_angle_gamma 90.00
_symmetry_space_group_name_H-M 'P m c 21'
_symmetry_Int_Tables_number 26
_symmetry_space_group_name_Hall 'P 2c -2'
loop_
_atom_site_label
_atom_site_fract_x
_atom_site_fract_y
_atom_site_fract_z
Tb1 0.000 0.045 0.000
Tb2 0.500 0.183 0.284
Pm1 0.500 0.456 0.907
Er1 0.000 0.309 0.626
Tl1 0.000 0.367 0.169
Tl2 0.500 0.135 0.745
# ΔE_f = -26.04 kJ per mole of atoms
# ρ = 9.8 g/cm³
# Raw total energy = -49.852 eV/cell

=====

(4)
# Ca5P | Alexandria | GGA-PBE | relaxed
data_Ca5P
_cell_length_a 4.343
_cell_length_b 16.555
_cell_length_c 5.520
_cell_angle_alpha 90.00
_cell_angle_beta 90.00
_cell_angle_gamma 90.00
_symmetry_space_group_name_H-M 'C m m m'
_symmetry_Int_Tables_number 65
_symmetry_space_group_name_Hall '-C 2 2'
loop_
_atom_site_label
_atom_site_fract_x
_atom_site_fract_y
_atom_site_fract_z
Ca1 0.000 0.000 0.000
Ca2 0.000 0.131 0.500
Ca3 0.000 0.329 0.000
P1 0.000 0.500 0.500
# ΔE_f = -20.89 kJ per mole of atoms
# ρ = 1.9 g/cm³
# Raw total energy = -33.434 eV/cell

=====

(5)
# KCdAg2 | Alexandria | GGA-PBE | relaxed
data_KCdAg2
_cell_length_a 3.2092
_cell_length_b 3.2092
_cell_length_c 31.3754
_cell_angle_alpha 90.00
_cell_angle_beta 90.00
_cell_angle_gamma 120.00
_symmetry_space_group_name_H-M 'R -3 m'
_symmetry_Int_Tables_number 166
_symmetry_space_group_name_Hall '-R 3 2"'
loop_
_atom_site_label
_atom_site_fract_x
_atom_site_fract_y
_atom_site_fract_z
K1 0.0000 0.0000 0.0000
Cd1 0.0000 0.0000 0.5000
Ag1 0.0000 0.0000 0.2420
# ΔE_f = 20.36 kJ per mole of atoms
# ρ = 6.5 g/cm³
# Raw total energy = -20.613 eV/cell

=====

(6)
# CdTcNi4 | Alexandria | GGA-PBE | relaxed
data_CdTcNi4
_cell_length_a 6.787
_cell_length_b 6.787
_cell_length_c 6.787
_cell_angle_alpha 90.00
_cell_angle_beta 90.00
_cell_angle_gamma 90.00
_symmetry_space_group_name_H-M 'F -4 3 m'
_symmetry_Int_Tables_number 216
_symmetry_space_group_name_Hall 'F -4 2 3'
loop_
_atom_site_label
_atom_site_fract_x
_atom_site_fract_y
_atom_site_fract_z
Cd1 0.000 0.000 0.000
Tc1 0.250 0.250 0.750
Ni1 0.125 0.125 0.375
# ΔE_f = 14.46 kJ per mole of atoms
# ρ = 9.5 g/cm³
# Raw total energy = -134.029 eV/cell

=====

> Which formula does entry 3 have?

Tb2PmErTl2